Na2PmTiF8: relaxed, GGA-PBE.

Total energy = -0.431 Ry/atom
Magnetic moment = 0.08 μB/atom
Crystal system = orthorhombic
Space-group type = Pmmm, No. 47
Formation energy from raw total energies = -3348 meV/atom
N(E_F) = 6.40 states/eV per cell

Unit cell a=3.769 b=5.535 c=7.477 alpha=90.00 beta=90.00 gamma=89.95
Each line ends with the local moment (μB).
Fractional positions:
F 0.500 0.791 0.000  -0.01
F 0.000 0.224 0.772  0.00
F 0.500 0.246 0.500  0.00
F 0.000 0.776 0.228  0.00
Na 0.500 0.500 0.770  0.00
F 0.500 0.209 0.000  -0.01
Pm 0.000 0.000 0.500  0.00
F 0.000 0.776 0.772  0.00
Na 0.500 0.500 0.230  0.00
F 0.000 0.224 0.228  0.00
F 0.500 0.754 0.500  0.00
Ti 0.000 0.000 0.000  0.94